# 1
A geometry-optimized Sm3Sn2Hg structure. Source: Alexandria, functional GGA-PBE.

The structure in POSCAR format:
```
Sm3Sn2Hg
1.0
6.440 0.000 0.000
0.000 6.438 -0.108
-3.220 -1.695 8.141
Sm Hg Sn
6 2 4
Direct
0.280 0.103 0.344
0.064 0.603 0.344
0.647 0.250 0.000
0.720 0.897 0.656
0.936 0.397 0.656
0.353 0.750 0.000
0.867 0.750 0.000
0.133 0.250 0.000
0.761 0.051 0.317
0.556 0.551 0.317
0.444 0.449 0.683
0.239 0.949 0.683
```

Values from the calculation:
As for the symmetry: C2/c, No. 15. Its crystal system is monoclinic. Its density of states at the Fermi level is 8.80 states/eV per cell. Its formation energy is -329 kJ/mol of formula units. The calculation puts the energy relative to the lowest polymorph listed for this composition at 0.048 eV/atom.

***

# 2
A geometry-optimized ErScAg4 structure. Source: Alexandria, functional GGA-PBE.

The structure in POSCAR format:
```
ErScAg4
1.0
-2.443 2.669 -0.355
-3.517 -0.221 3.857
3.697 6.094 1.808
Ag Er Sc
4 1 1
Direct
0.658 0.008 0.174
0.826 0.505 0.340
0.176 0.489 0.656
0.345 0.987 0.822
0.501 0.497 0.998
0.001 0.997 0.498
```

Values from the calculation:
As for the symmetry: C2/m, No. 12. Its crystal system is monoclinic. Its density of states at the Fermi level is 2.40 states/eV per cell. Its formation energy is -176 kJ/mol of formula units. The calculation puts the energy relative to the lowest polymorph listed for this composition at 0.000 eV/atom.

***

# 3
A geometry-optimized TlGe4Cl8 structure. Source: Alexandria, functional GGA-PBE.

The structure in POSCAR format:
```
TlGe4Cl8
1.0
-6.411 3.715 3.835
-0.608 -1.763 -8.132
0.903 -6.895 3.717
Tl Ge Cl
1 4 8
Direct
0.000 0.500 0.500
0.731 0.731 0.000
0.251 0.760 0.012
0.749 0.240 0.988
0.269 0.269 0.000
0.798 0.000 0.798
0.650 0.981 0.202
0.332 0.445 0.777
0.222 0.552 0.202
0.350 0.019 0.798
0.202 0.000 0.202
0.668 0.555 0.223
0.778 0.448 0.798
```

Values from the calculation:
As for the symmetry: C2/m, No. 12. Its crystal system is monoclinic. Its density of states at the Fermi level is 3.08 states/eV per cell. As for the raw formation energy: -0.6637 eV per atom.

***

# 4
A geometry-optimized Rb4TeSe structure. Source: Alexandria, functional GGA-PBE.

The structure in POSCAR format:
```
Rb4TeSe
1.0
5.655 0.000 1.663
2.650 5.065 1.435
0.067 0.496 10.220
Rb Se Te
4 1 1
Direct
0.120 0.121 0.639
0.880 0.879 0.361
0.629 0.629 0.113
0.371 0.371 0.887
0.000 0.000 0.000
0.500 0.500 0.500
```

Values from the calculation:
As for the symmetry: R-3m, No. 166. Its crystal system is trigonal. Its density of states at the Fermi level is 0.00 states/eV per cell. As for the raw formation energy: -1.0258 eV per atom.